Entry 1:
Computed, not measured: an optimized crystal structure of Pr2InSn at the GGA-PBE level of DFT.

Values from the calculation:
- total magnetization (μB per atom) = 0.0000
- energy of formation (kJ per mole of atoms) = -62
- E (eV for the cell shown) = -37.76

Structure (CIF):
```
data_Pr2InSn
_chemical_formula_sum 'Pr4 In2 Sn2'
_cell_length_a 4.4512
_cell_length_b 4.7368
_cell_length_c 11.9081
_cell_angle_alpha 90.00
_cell_angle_beta 90.00
_cell_angle_gamma 90.00
_symmetry_space_group_name_H-M 'A m m 2'
_symmetry_Int_Tables_number 38
loop_
_symmetry_equiv_pos_as_xyz
'x,y,z'
'-x,-y,z'
'-x,y,z'
'x,-y,z'
'x,y+1/2,z+1/2'
'-x,-y+1/2,z+1/2'
'-x,y+1/2,z+1/2'
'x,-y+1/2,z+1/2'
loop_
_atom_site_label
_atom_site_fract_x
_atom_site_fract_y
_atom_site_fract_z
Pr1 0.0000 0.0000 0.0000
Pr2 0.5000 0.0000 0.2763
In1 0.0000 0.0000 0.7221
Sn1 0.5000 0.0000 0.5555
```



Entry 2:
Computed, not measured: an optimized crystal structure of Pr6In5Sn at the GGA-PBE level of DFT.

Values from the calculation:
- total magnetization (μB per atom) = 0.0000
- energy of formation (kJ per mole of atoms) = -51
- distance to the lowest polymorph of the same formula (meV/atom) = 0
- E (eV for the cell shown) = -105.36

Structure (CIF):
```
data_Pr6In5Sn
_chemical_formula_sum 'Pr12 In10 Sn2'
_cell_length_a 5.1758
_cell_length_b 15.5638
_cell_length_c 8.7961
_cell_angle_alpha 90.00
_cell_angle_beta 90.00
_cell_angle_gamma 90.00
_symmetry_space_group_name_H-M 'C m m m'
_symmetry_Int_Tables_number 65
_symmetry_space_group_name_Hall '-C 2 2'
loop_
_atom_site_label
_atom_site_fract_x
_atom_site_fract_y
_atom_site_fract_z
Pr1 0.0000 0.0000 0.2475
Pr2 0.0000 0.3343 0.2506
In1 0.0000 0.1663 0.5000
In2 0.0000 0.1714 0.0000
In3 0.0000 0.5000 0.5000
Sn1 0.0000 0.5000 0.0000
```



Entry 3:
Computed, not measured: an optimized crystal structure of Pr3InSn3 at the GGA-PBE level of DFT.

Values from the calculation:
- total magnetization (μB per atom) = 0.0001
- energy of formation (kJ per mole of atoms) = -44
- distance to the lowest polymorph of the same formula (meV/atom) = 220
- E (eV for the cell shown) = -64.57

Structure (CIF):
```
data_Pr3InSn3
_chemical_formula_sum 'Pr6 In2 Sn6'
_cell_length_a 9.3239
_cell_length_b 9.3239
_cell_length_c 6.2560
_cell_angle_alpha 90.00
_cell_angle_beta 90.00
_cell_angle_gamma 120.00
_symmetry_space_group_name_H-M 'P 63/m'
_symmetry_Int_Tables_number 176
_symmetry_space_group_name_Hall '-P 6c'
loop_
_atom_site_label
_atom_site_fract_x
_atom_site_fract_y
_atom_site_fract_z
Pr1 0.0776 0.6741 0.2500
In1 0.3333 0.6667 0.7500
Sn1 0.0621 0.7364 0.7500
```



Question: energy of formation of number 1 (Pr2InSn)?
Answer: -62 kJ per mole of atoms